A geometry-optimized BaPmHf structure. Source: the Open Quantum Materials Database, functional PBE.

Output
**Theoretical density**: 7.1 Mg/m³
**E_tot**: -4.1764 eV per atom

The structure in POSCAR format:
```
BaPmHf
1.0
0.0000 3.7729 3.7729
3.7729 0.0000 3.7729
3.7729 3.7729 0.0000
Ba Pm Hf
1 1 1
Cartesian
0.0000 0.0000 0.0000
1.8865 1.8865 1.8865
5.6594 5.6594 5.6594
```